Entry 1:
Sm2Cd4Ag5: optimized geometry, PBE-GGA.

Cell lengths 5.653, 7.214, 7.209 Å; angles 78.97, 66.91, 66.93 degrees
Sites, in units of the cell vectors:
Ag (0.000, 0.500, 0.500)
Ag (0.755, 0.832, 0.168)
Ag (0.755, 0.168, 0.832)
Ag (0.245, 0.168, 0.832)
Ag (0.245, 0.832, 0.168)
Sm (0.292, 0.708, 0.707)
Sm (0.708, 0.292, 0.293)
Cd (0.239, 0.093, 0.429)
Cd (0.761, 0.570, 0.908)
Cd (0.761, 0.907, 0.571)
Cd (0.239, 0.430, 0.092)

Total magnetization ... 0.00 μB per formula unit
E ... -2.596 eV per atom
Energy of formation from the pure elements ... -0.11 eV per atom

Entry 2:
Sm5Cd2Ag2: optimized geometry, PBE-GGA.

Cell lengths 7.990, 7.419, 9.461 Å; angles 113.08, 90.00, 90.00 degrees
Sites, in units of the cell vectors:
Sm (0.817, 0.549, 0.729)
Sm (0.683, 0.320, 0.271)
Sm (0.183, 0.180, 0.729)
Sm (0.500, 0.500, 0.000)
Sm (0.183, 0.451, 0.271)
Sm (0.000, 0.000, 0.000)
Sm (0.317, 0.680, 0.729)
Sm (0.817, 0.820, 0.271)
Sm (0.683, 0.049, 0.729)
Sm (0.317, 0.951, 0.271)
Ag (0.367, 0.118, 0.000)
Ag (0.867, 0.382, 0.000)
Ag (0.133, 0.618, 0.000)
Ag (0.633, 0.882, 0.000)
Cd (0.500, 0.277, 0.554)
Cd (0.000, 0.223, 0.446)
Cd (0.500, 0.723, 0.446)
Cd (0.000, 0.777, 0.554)

Total magnetization ... 0.00 μB per formula unit
E ... -3.626 eV per atom
Energy of formation from the pure elements ... -0.17 eV per atom